Record 1
Hf3InI | PBE | relaxed

Output
The value obtained for the raw formation energy is 1.14 eV/atom. As for the crystal system: cubic. As for the total energy: -5.693 eV per atom. The total magnetic moment comes out at 0.00 μB/cell.

Lattice parameters (Å, degrees): 5.1935 5.1935 5.1935 90.00 90.00 90.00
With the nearest neighbours (Å) after each atom.
Fractional positions:
1 Hf 0.0000 0.0000 0.5000  2 I 2.60
2 Hf 0.0000 0.5000 0.0000  2 I 2.60
3 Hf 0.5000 0.0000 0.0000  2 I 2.60
4 In 0.5000 0.5000 0.5000  12 Hf 3.67
5 I 0.0000 0.0000 0.0000  6 Hf 2.60

***

Record 2
HfIn3I7 | PBE | relaxed

Output
The value obtained for the raw formation energy is -0.64 eV/atom. As for the crystal system: monoclinic. As for the total energy: -3.280 eV per atom. The total magnetic moment comes out at 0.00 μB/cell.

Lattice parameters (Å, degrees): 8.1912 8.1912 8.9725 112.14 112.14 74.41
With the nearest neighbours (Å) after each atom.
Fractional positions:
1 Hf 0.0000 0.0000 0.0000  6 I 2.84-2.88
2 In 0.1861 0.8176 0.5045  3 I 3.16-3.47
3 In 0.5178 0.5178 0.9299  4 I 3.29-3.59
4 In 0.8176 0.1861 0.5045  3 I 3.16-3.47
5 I 0.0681 0.6656 0.7521  1 Hf 2.88
6 I 0.1694 0.1694 0.8839  1 Hf 2.85
7 I 0.3318 0.9168 0.2358  1 Hf 2.84
8 I 0.5209 0.5209 0.5649  3 In 3.16-3.29
9 I 0.6656 0.0681 0.7521  1 Hf 2.88
10 I 0.8289 0.8289 0.1148  1 Hf 2.87
11 I 0.9168 0.3318 0.2358  1 Hf 2.84

***

Record 3
Hf2InI8 | PBE | relaxed

Output
The value obtained for the raw formation energy is -0.61 eV/atom. As for the crystal system: trigonal. As for the total energy: -3.800 eV per atom. The total magnetic moment comes out at 0.92 μB/cell.

Lattice parameters (Å, degrees): 10.2889 10.2889 5.8108 90.00 90.00 120.00
With the nearest neighbours (Å) after each atom.
Fractional positions:
1 Hf 0.3333 0.6667 0.2326  5 I 2.74-2.99
2 Hf 0.6667 0.3333 0.7674  5 I 2.74-2.99
3 In 0.0000 0.0000 0.0000  6 I 3.54
4 I 0.1788 0.3597 0.2593  1 Hf 2.74
5 I 0.1809 0.8212 0.2593  1 Hf 2.74
6 I 0.3333 0.6667 0.7471  2 Hf 2.82-2.99
7 I 0.3597 0.1809 0.7407  1 Hf 2.74
8 I 0.6403 0.8191 0.2593  1 Hf 2.74
9 I 0.6667 0.3333 0.2529  2 Hf 2.82-2.99
10 I 0.8191 0.1788 0.7407  1 Hf 2.74
11 I 0.8212 0.6403 0.7407  1 Hf 2.74

***

Record 4
HfInI5 | PBE | relaxed

Output
The value obtained for the raw formation energy is -0.71 eV/atom. As for the crystal system: monoclinic. As for the total energy: -3.627 eV per atom. The total magnetic moment comes out at 0.00 μB/cell.

Lattice parameters (Å, degrees): 8.1269 8.1269 11.1664 108.44 108.44 71.26
With the nearest neighbours (Å) after each atom.
Fractional positions:
1 Hf 0.0000 0.0000 0.0000  6 I 2.80-2.94
2 Hf 0.0000 0.0000 0.5000  6 I 2.80-2.94
3 In 0.4775 0.5225 0.7500  5 I 3.36-3.60
4 In 0.5225 0.4775 0.2500  5 I 3.36-3.60
5 I 0.0977 0.9023 0.7500  2 Hf 2.94
6 I 0.1149 0.3152 0.6268  1 Hf 2.80
7 I 0.1900 0.6462 0.0185  1 Hf 2.83
8 I 0.3152 0.1149 0.1268  1 Hf 2.80
9 I 0.3538 0.8100 0.4815  1 Hf 2.83
10 I 0.6462 0.1900 0.5185  1 Hf 2.83
11 I 0.6848 0.8851 0.8732  1 Hf 2.80
12 I 0.8100 0.3538 0.9815  1 Hf 2.83
13 I 0.8851 0.6848 0.3732  1 Hf 2.80
14 I 0.9023 0.0977 0.2500  2 Hf 2.94